A relaxed Dy2HoMg3AlGa2 crystal, computed with PBE.

POSCAR file:
```
Dy2HoMg3AlGa2
1.0
4.497 0.000 0.000
0.000 6.285 3.635
0.000 -6.285 3.635
Dy Ho Mg Al Ga
2 1 3 1 2
Direct
0.000 0.217 0.783
0.000 0.783 0.217
0.000 0.348 0.348
0.500 0.027 0.027
0.500 0.538 0.782
0.500 0.782 0.538
0.000 0.782 0.782
0.500 0.116 0.449
0.500 0.449 0.116
```

For the energy, the calculation gives -32.14 eV/f.u. Its space group is No. 38.

=====

A relaxed DyAlGa4Ir crystal, computed with PBE.

POSCAR file:
```
DyAlGa4Ir
1.0
4.344 0.000 0.000
0.000 4.344 0.000
0.000 0.000 6.846
Dy Al Ga Ir
1 1 4 1
Direct
0.000 0.000 0.000
0.500 0.500 0.000
0.000 0.500 0.301
0.000 0.500 0.699
0.500 0.000 0.301
0.500 0.000 0.699
0.000 0.000 0.500
```

For the energy, the calculation gives -33.07 eV/f.u. Its space group is No. 123.

=====

A relaxed Dy3Mg3AlGa2 crystal, computed with PBE.

POSCAR file:
```
Dy3Mg3AlGa2
1.0
7.280 0.000 0.000
-3.640 6.305 0.000
0.000 0.000 4.488
Dy Mg Al Ga
3 3 1 2
Direct
0.000 0.567 0.000
0.433 0.433 0.000
0.567 0.000 0.000
0.000 0.246 0.500
0.246 0.000 0.500
0.754 0.754 0.500
0.000 0.000 0.000
0.333 0.667 0.500
0.667 0.333 0.500
```

For the energy, the calculation gives -32.18 eV/f.u. Its space group is No. 189.

=====

A relaxed Dy3Mg3Al2Ga crystal, computed with PBE.

POSCAR file:
```
Dy3Mg3Al2Ga
1.0
7.355 0.000 0.000
-3.677 6.369 0.000
0.000 0.000 4.472
Dy Mg Al Ga
3 3 2 1
Direct
0.000 0.575 0.000
0.425 0.425 0.000
0.575 0.000 0.000
0.000 0.241 0.500
0.241 0.000 0.500
0.759 0.759 0.500
0.333 0.667 0.500
0.667 0.333 0.500
0.000 0.000 0.000
```

For the energy, the calculation gives -32.29 eV/f.u. Its space group is No. 189.

=====

A relaxed Nd2DyMg3AlGa2 crystal, computed with PBE.

POSCAR file:
```
Nd2DyMg3AlGa2
1.0
4.565 0.000 0.000
0.000 6.373 3.726
0.000 -6.373 3.726
Nd Dy Mg Al Ga
2 1 3 1 2
Direct
0.000 0.216 0.784
0.000 0.784 0.216
0.000 0.648 0.648
0.500 0.218 0.461
0.500 0.461 0.218
0.500 0.973 0.973
0.000 0.223 0.223
0.500 0.552 0.879
0.500 0.879 0.552
```

For the energy, the calculation gives -32.48 eV/f.u. Its space group is No. 38.

=====

A relaxed Tb2DyMg3AlGa2 crystal, computed with PBE.

POSCAR file:
```
Tb2DyMg3AlGa2
1.0
4.508 0.000 0.000
0.000 6.307 3.648
0.000 -6.307 3.648
Tb Dy Mg Al Ga
2 1 3 1 2
Direct
0.000 0.217 0.783
0.000 0.783 0.217
0.000 0.651 0.651
0.500 0.217 0.461
0.500 0.461 0.217
0.500 0.973 0.973
0.000 0.218 0.218
0.500 0.551 0.883
0.500 0.883 0.551
```

For the energy, the calculation gives -32.26 eV/f.u. Its space group is No. 38.

=====

A relaxed DyAl2Ga2Ni crystal, computed with PBE.

POSCAR file:
```
DyAl2Ga2Ni
1.0
2.047 -7.662 0.000
2.047 7.662 0.000
0.000 0.000 6.532
Dy Al Ga Ni
2 4 4 2
Direct
0.121 0.879 0.750
0.879 0.121 0.250
0.073 0.927 0.250
0.500 0.500 0.000
0.500 0.500 0.500
0.927 0.073 0.750
0.316 0.684 0.551
0.316 0.684 0.949
0.684 0.316 0.051
0.684 0.316 0.449
0.225 0.775 0.250
0.775 0.225 0.750
```

Its space group is No. 63. The excess energy over the best structure of this formula in the dataset comes out at 57 meV/atom.

=====

A relaxed DyAlGa3Ni crystal, computed with PBE.

POSCAR file:
```
DyAlGa3Ni
1.0
2.051 -7.636 0.000
2.051 7.636 0.000
0.000 0.000 6.528
Dy Al Ga Ni
2 2 6 2
Direct
0.121 0.879 0.750
0.879 0.121 0.250
0.500 0.500 0.000
0.500 0.500 0.500
0.070 0.930 0.250
0.316 0.684 0.550
0.316 0.684 0.950
0.684 0.316 0.050
0.684 0.316 0.450
0.930 0.070 0.750
0.224 0.776 0.250
0.776 0.224 0.750
```

Its space group is No. 63. The excess energy over the best structure of this formula in the dataset comes out at 5 meV/atom.